Below is LaOsAu after structural relaxation, with properties calculated at the PBE-GGA level.

## Properties
- Space group: I4mm, No. 107
- Energy above the lowest structure with this stoichiometry: 0.233 eV per atom

a b c (Å): 5.581 5.581 3.677
angles (deg): 70.76 70.76 38.47
Sites, in units of the cell vectors:
Au (0.038, 0.038, 0.962)
La (0.336, 0.336, 0.664)
Os (0.627, 0.627, 0.373)


Below is LaOs2Au after structural relaxation, with properties calculated at the PBE-GGA level.

## Properties
- Space group: R3m, No. 160
- Energy above the lowest structure with this stoichiometry: 0.000 eV per atom

a b c (Å): 4.385 4.385 5.858
angles (deg): 68.01 68.01 59.98
Sites, in units of the cell vectors:
Au (0.464, 0.464, 0.608)
La (0.256, 0.256, 0.234)
Os (0.055, 0.055, 0.834)
Os (0.725, 0.725, 0.823)


Below is LaOs3Au after structural relaxation, with properties calculated at the PBE-GGA level.

## Properties
- Space group: Pm-3m, No. 221
- Energy above the lowest structure with this stoichiometry: 0.000 eV per atom

a b c (Å): 4.913 4.913 4.913
angles (deg): 90.00 90.00 90.00
Sites, in units of the cell vectors:
Os (0.000, 0.500, 0.000)
Os (0.000, 0.000, 0.500)
Os (0.500, 0.000, 0.000)
Au (0.000, 0.000, 0.000)
La (0.500, 0.500, 0.500)


Below is LaOs2Au after structural relaxation, with properties calculated at the PBE-GGA level.

## Properties
- Space group: R3m, No. 160
- Energy above the lowest structure with this stoichiometry: 0.571 eV per atom

a b c (Å): 10.199 10.199 10.199
angles (deg): 16.49 16.49 16.49
Sites, in units of the cell vectors:
Au (0.510, 0.510, 0.510)
La (0.747, 0.747, 0.747)
Os (0.988, 0.988, 0.988)
Os (0.256, 0.256, 0.256)


Below is La5Os2Au after structural relaxation, with properties calculated at the PBE-GGA level.

## Properties
- Space group: I4/mcm, No. 140

a b c (Å): 7.984 7.984 9.011
angles (deg): 116.30 116.30 90.00
Sites, in units of the cell vectors:
La (0.531, 0.704, 0.735)
La (0.796, 0.969, 0.265)
La (0.000, 0.000, 0.000)
La (0.500, 0.500, 0.000)
La (0.204, 0.031, 0.735)
La (0.704, 0.204, 0.735)
La (0.031, 0.531, 0.735)
La (0.296, 0.796, 0.265)
La (0.969, 0.469, 0.265)
La (0.469, 0.296, 0.265)
Os (0.137, 0.363, 0.000)
Os (0.637, 0.137, 0.000)
Os (0.363, 0.863, 0.000)
Os (0.863, 0.637, 0.000)
Au (0.750, 0.750, 0.500)
Au (0.250, 0.250, 0.500)


Below is La8OsAu2 after structural relaxation, with properties calculated at the PBE-GGA level.

## Properties
- Space group: C2/m, No. 12

a b c (Å): 4.876 7.562 9.656
angles (deg): 92.50 104.62 90.00
Sites, in units of the cell vectors:
La (0.409, 0.525, 0.817)
La (0.647, 0.993, 0.294)
La (0.785, 0.668, 0.570)
La (0.989, 0.225, 0.978)
La (0.215, 0.332, 0.430)
La (0.353, 0.007, 0.706)
La (0.591, 0.475, 0.183)
La (0.011, 0.775, 0.022)
Os (0.500, 0.000, 0.000)
Au (0.818, 0.266, 0.636)
Au (0.182, 0.734, 0.364)


Below is LaOs2Au after structural relaxation, with properties calculated at the PBE-GGA level.

## Properties
- Space group: P2/m, No. 10
- Energy above the lowest structure with this stoichiometry: 0.390 eV per atom

a b c (Å): 4.770 4.374 4.391
angles (deg): 82.85 90.00 90.00
Sites, in units of the cell vectors:
Au (0.500, 0.250, 0.250)
La (0.500, 0.750, 0.750)
Os (0.000, 0.129, 0.005)
Os (0.000, 0.371, 0.495)


Below is La8Os2Au after structural relaxation, with properties calculated at the PBE-GGA level.

## Properties
- Space group: Cm, No. 8

a b c (Å): 6.441 7.897 7.897
angles (deg): 114.62 99.61 99.61
Sites, in units of the cell vectors:
La (0.587, 0.353, 0.085)
La (0.587, 0.085, 0.353)
La (0.189, 0.375, 0.375)
La (0.985, 0.219, 0.778)
La (0.985, 0.778, 0.219)
La (0.784, 0.639, 0.639)
La (0.379, 0.922, 0.652)
La (0.379, 0.652, 0.922)
Os (0.486, 0.698, 0.312)
Os (0.486, 0.312, 0.698)
Au (0.151, 0.003, 0.003)


| no. | magnetization (μB per cell) | formation enthalpy at 0 K (eV per atom) |
| --- | --- | --- |
| 1 | 0.000 | 0.20 |
| 2 | 0.000 | -0.04 |
| 3 | 4.276 | 1.93 |
| 4 | 0.497 | 0.53 |
| 5 | 0.000 | -0.35 |
| 6 | 0.000 | -0.33 |
| 7 | 0.001 | 0.35 |
| 8 | 0.000 | -0.17 |